1.
Compound: NdAlAu4
Source: the Alexandria database
Functional: PBE
Structure: optimized geometry

Lattice parameters (Å, degrees): 6.316 6.316 7.652 74.11 74.11 58.79
Atoms (fractional coordinates):
Nd: 0.788 0.788 0.813
Nd: 0.212 0.212 0.187
Al: 0.560 0.560 0.246
Al: 0.440 0.440 0.754
Au: 0.788 0.788 0.210
Au: 0.136 0.642 0.441
Au: 0.256 0.744 0.000
Au: 0.358 0.864 0.559
Au: 0.212 0.212 0.790
Au: 0.864 0.358 0.559
Au: 0.744 0.256 0.000
Au: 0.642 0.136 0.441


2.
Compound: DyY2Er
Source: the Alexandria database
Functional: PBE
Structure: optimized geometry

Lattice parameters (Å, degrees): 3.579 3.579 11.616 81.14 81.14 60.00
Atoms (fractional coordinates):
Dy: 0.500 0.500 0.499
Y: 0.083 0.083 0.750
Y: 0.250 0.250 0.250
Er: 0.666 0.666 0.001


| no. | final energy (eV per formula unit) | magnetic moment (μB/f.u.) |
| --- | --- | --- |
| 1 | -24.85 | 0.00 |
| 2 | -22.04 | 0.00 |